Record 1
Pr4IN2 (PBE-GGA, optimized geometry); raw formation energy = -1.0200 eV per atom; size of the total moment = 0.000 μB per atom; V = 25.09 Å³/atom; electronic total energy = -6.35 eV per atom
1.0
-3.448 1.086 1.057
-2.940 -2.296 -0.522
0.037 -6.114 13.106
Pr I N
4 1 2
direct
0.123 0.123 0.630
0.273 0.273 0.181
0.727 0.727 0.819
0.877 0.877 0.370
0.000 0.000 0.000
0.424 0.424 0.727
0.576 0.576 0.273



Record 2
LaTb2Nd2Tm2 (PBE-GGA, optimized geometry); size of the total moment = 0.010 μB per atom; V = 33.96 Å³/atom; electronic total energy = -4.49 eV per atom
1.0
3.488 0.000 0.000
-1.744 10.968 -5.140
0.000 -7.137 9.557
La Tb Nd Tm
1 2 2 2
direct
0.000 0.000 0.500
0.408 0.816 0.598
0.592 0.184 0.402
0.703 0.406 0.041
0.297 0.594 0.959
0.658 0.316 0.244
0.342 0.684 0.756